1.
Cu2RhAu | GGA-PBE | optimized geometry

Structure (POSCAR):
```
Cu2RhAu
1.0
2.6949 0.0000 0.0000
0.0000 4.1817 0.0000
-1.3404 0.0000 5.0453
Cu Rh Au
2 1 1
Direct
0.0000 0.0000 0.0000 Cu
0.1368 0.5000 0.2645 Cu
0.7348 0.0000 0.4637 Rh
0.3907 0.5000 0.7791 Au
```

For the density of states at the Fermi level, the calculation gives 2.6 states/eV/f.u. The formation energy comes out at 0.080 eV per atom. Its calculated total energy is -18.50 eV/cell.

---

2.
LiPm4Pb2 | GGA-PBE | optimized geometry

Structure (POSCAR):
```
LiPm4Pb2
1.0
2.7146 1.5673 8.8796
-2.7146 1.5673 8.8796
0.0000 -3.1346 8.8796
Li Pm Pb
1 4 2
Direct
0.0000 0.0000 0.0000 Li
0.2192 0.2192 0.2192 Pm
0.3715 0.3715 0.3715 Pm
0.6285 0.6285 0.6285 Pm
0.7808 0.7808 0.7808 Pm
0.0978 0.0978 0.0978 Pb
0.9022 0.9022 0.9022 Pb
```

For the density of states at the Fermi level, the calculation gives 4.8 states/eV/f.u. The energy above the lowest structure with this stoichiometry is 0.0 meV per atom. The formation energy comes out at -0.201 eV per atom. Its calculated total energy is -29.74 eV/cell.